Density functional theory data (GGA-PBE) for crystalline NiIrAu at its relaxed geometry.

Its calculated volume is 14.99 Å³/atom. The value obtained for the excess energy over the best structure of this formula in the dataset is 262.5 meV per atom. The calculation puts the total energy at -67.97 eV for the cell shown. The calculation puts the formation energy from the elements at 7.1 kcal/mol of atoms.

Cell lengths 2.773, 4.701, 13.796 Å; angles 90.00, 90.00, 90.00 degrees
Sites, in units of the cell vectors:
Ni1 0.000 0.000 0.000
Ni2 0.000 0.500 0.500
Ni3 0.500 0.000 0.500
Ni4 0.500 0.500 0.000
Ir1 0.000 0.000 0.350
Ir2 0.000 0.500 0.850
Ir3 0.500 0.000 0.850
Ir4 0.500 0.500 0.350
Au1 0.000 0.000 0.665
Au2 0.000 0.500 0.165
Au3 0.500 0.000 0.165
Au4 0.500 0.500 0.665